No. 1
A plane-wave DFT calculation with PBE-GGA was carried out for a relaxed Eu2HoI crystal.

Structure (POSCAR):
```
Eu2HoI
1.0
3.811 0.000 0.000
0.000 3.811 0.000
0.000 0.000 10.060
Eu I Ho
2 1 1
direct
0.000 0.000 0.766 Eu
0.000 0.000 0.234 Eu
0.500 0.500 0.000 I
0.500 0.500 0.500 Ho
```

## Properties
Space group: No. 123
Energy relative to the elements, uncorrected: -0.44 eV/atom



No. 2
A plane-wave DFT calculation with PBE-GGA was carried out for a relaxed InSiPb2 crystal.

Structure (POSCAR):
```
InSiPb2
1.0
-2.297 6.342 -2.986
-3.507 6.472 0.476
3.029 3.157 0.941
In Pb Si
1 2 1
direct
0.250 0.250 0.250 In
0.067 0.067 0.932 Pb
0.433 0.433 0.568 Pb
0.750 0.750 0.750 Si
```

## Properties
Space group: No. 12
Energy relative to the elements, uncorrected: 0.27 eV/atom



No. 3
A plane-wave DFT calculation with PBE-GGA was carried out for a relaxed Cu2Ru crystal.

Structure (POSCAR):
```
Cu2Ru
1.0
-0.979 -3.145 -3.112
-0.796 -4.393 -0.773
-7.145 -1.735 -0.368
Cu Ru
4 2
direct
0.994 0.994 0.770 Cu
0.671 0.671 0.911 Cu
0.329 0.329 0.089 Cu
0.006 0.006 0.230 Cu
0.340 0.340 0.570 Ru
0.660 0.660 0.430 Ru
```

## Properties
Space group: No. 12
Relative energy among the computed polymorphs: 0.0 meV per atom
ΔE_f: 0.4 eV/f.u.



No. 4
A plane-wave DFT calculation with PBE-GGA was carried out for a relaxed NbSn3Hg crystal.

Structure (POSCAR):
```
NbSn3Hg
1.0
-1.900 -1.032 -5.008
5.111 -0.536 -1.829
-0.146 -5.329 1.154
Nb Hg Sn
1 1 3
direct
0.500 0.500 0.500 Nb
0.000 0.000 0.000 Hg
0.000 0.500 0.000 Sn
0.000 0.000 0.500 Sn
0.500 0.000 0.000 Sn
```

## Properties
Space group: No. 221
Relative energy among the computed polymorphs: 979.3 meV per atom
ΔE_f: 6.0 eV/f.u.



| no. | energy (eV/atom) |
| --- | --- |
| 1 | -7.11 |
| 2 | -3.63 |
| 3 | -5.68 |
| 4 | -3.27 |